A geometry-optimized LuCuBiMo structure, computed with GGA-PBE.

Geometry as CIF:
```
data_LuCuBiMo
_space_group_name_H-M_alt 'F -4 3 m'
_space_group_IT_number 216
_space_group_name_Hall 'F -4 2 3'
_cell_length_a 6.813
_cell_length_b 6.813
_cell_length_c 6.813
_cell_angle_alpha 90.00
_cell_angle_beta 90.00
_cell_angle_gamma 90.00
loop_
_atom_site_label
_atom_site_type_symbol
_atom_site_fract_x
_atom_site_fract_y
_atom_site_fract_z
Lu1 Lu 0.000 0.000 0.000
Cu1 Cu 0.250 0.250 0.750
Bi1 Bi 0.000 0.000 0.500
Mo1 Mo 0.250 0.250 0.250
```

Summary:
ΔE to the lowest computed polymorph: 0 meV/atom
E_tot: -5.39 eV/atom

A geometry-optimized LuCuBiMo structure, computed with GGA-PBE.

Geometry as CIF:
```
data_LuCuBiMo
_space_group_name_H-M_alt 'F -4 3 m'
_space_group_IT_number 216
_space_group_name_Hall 'F -4 2 3'
_cell_length_a 6.964
_cell_length_b 6.964
_cell_length_c 6.964
_cell_angle_alpha 90.00
_cell_angle_beta 90.00
_cell_angle_gamma 90.00
loop_
_atom_site_label
_atom_site_type_symbol
_atom_site_fract_x
_atom_site_fract_y
_atom_site_fract_z
Lu1 Lu 0.000 0.000 0.000
Cu1 Cu 0.000 0.000 0.500
Bi1 Bi 0.250 0.250 0.250
Mo1 Mo 0.250 0.250 0.750
```

Summary:
ΔE to the lowest computed polymorph: 240 meV/atom
E_tot: -5.15 eV/atom